[1]
The following is a PBE calculation of a relaxed structure of CaTmSc, from Alexandria.

DOS(E_F), states/eV per cell: 5.96
Volume, Å³ per cell: 93.62
Crystal system: tetragonal
Energy relative to the elements, kcal/mol of atoms: 2.938

Lattice parameters (Å, degrees): 7.831 7.831 7.831 153.78 153.78 37.42
Positions (direct):
Ca (0.000, 0.000, 0.000)
Tm (0.314, 0.314, 0.000)
Sc (0.674, 0.674, 0.000)



[2]
The following is a PBE calculation of a relaxed structure of Hf2AlSiPb, from Alexandria.

DOS(E_F), states/eV per cell: 8.44
Volume, Å³ per cell: 151.88
Crystal system: tetragonal
Formation energy (no corrections), kcal/mol of atoms: 35.77

Lattice parameters (Å, degrees): 5.459 5.459 5.097 90.00 90.00 90.00
Positions (direct):
Hf (0.000, 0.500, 0.000)
Hf (0.500, 0.000, 0.000)
Al (0.000, 0.000, 0.500)
Si (0.500, 0.500, 0.500)
Pb (0.500, 0.500, 0.000)



[3]
The following is a PBE calculation of a relaxed structure of UGa2Au, from Alexandria.

DOS(E_F), states/eV per cell: 3.79
Volume, Å³ per cell: 72.03
Crystal system: tetragonal
Energy relative to the elements, kcal/mol of atoms: -2.302

Lattice parameters (Å, degrees): 2.859 2.859 8.811 90.00 90.00 90.00
Positions (direct):
U (0.000, 0.000, 0.000)
Ga (0.500, 0.500, 0.263)
Ga (0.500, 0.500, 0.737)
Au (0.000, 0.000, 0.500)



[4]
The following is a PBE calculation of a relaxed structure of Pu3PaN4, from Alexandria.

DOS(E_F), states/eV per cell: 42.30
Volume, Å³ per cell: 240.36
Crystal system: monoclinic
Formation energy (no corrections), kcal/mol of atoms: -30.90

Lattice parameters (Å, degrees): 6.020 6.989 6.053 90.00 109.29 90.00
Positions (direct):
Pu (0.000, 0.122, 0.250)
Pu (0.000, 0.375, 0.750)
Pu (0.000, 0.625, 0.250)
Pu (0.000, 0.878, 0.750)
Pu (0.500, 0.123, 0.750)
Pu (0.500, 0.877, 0.250)
Pa (0.500, 0.373, 0.250)
Pa (0.500, 0.627, 0.750)
N (0.255, 0.123, 0.005)
N (0.255, 0.877, 0.505)
N (0.259, 0.383, 0.501)
N (0.259, 0.617, 0.001)
N (0.741, 0.383, 0.999)
N (0.741, 0.617, 0.499)
N (0.745, 0.123, 0.495)
N (0.745, 0.877, 0.995)



[5]
The following is a PBE calculation of a relaxed structure of Al2TcBr, from Alexandria.

DOS(E_F), states/eV per cell: 1.78
Volume, Å³ per cell: 66.51
Crystal system: orthorhombic
Formation energy (no corrections), kcal/mol of atoms: 7.18

Lattice parameters (Å, degrees): 5.184 5.184 5.184 143.15 126.12 67.06
Positions (direct):
Al (0.237, 0.237, 0.000)
Al (0.763, 0.763, 0.000)
Tc (0.000, 0.500, 0.500)
Br (0.500, 0.000, 0.500)



[6]
The following is a PBE calculation of a relaxed structure of CsLa2PtC, from Alexandria.

DOS(E_F), states/eV per cell: 5.51
Volume, Å³ per cell: 150.34
Crystal system: tetragonal
Energy relative to the elements, kcal/mol of atoms: 7.580

Lattice parameters (Å, degrees): 5.031 5.031 5.941 90.00 90.00 90.00
Positions (direct):
Cs (0.000, 0.000, 0.000)
La (0.000, 0.500, 0.500)
La (0.500, 0.000, 0.500)
Pt (0.500, 0.500, 0.000)
C (0.000, 0.000, 0.500)



[7]
The following is a PBE calculation of a relaxed structure of Y2ScTiNb, from Alexandria.

DOS(E_F), states/eV per cell: 9.40
Volume, Å³ per cell: 142.71
Crystal system: tetragonal
Energy relative to the elements, kcal/mol of atoms: 15.503

Lattice parameters (Å, degrees): 5.461 5.461 4.785 90.00 90.00 90.00
Positions (direct):
Y (0.000, 0.500, 0.000)
Y (0.500, 0.000, 0.000)
Sc (0.000, 0.000, 0.500)
Ti (0.500, 0.500, 0.500)
Nb (0.500, 0.500, 0.000)



[8]
The following is a PBE calculation of a relaxed structure of AcTb4Ho6, from Alexandria.

DOS(E_F), states/eV per cell: 39.73
Volume, Å³ per cell: 720.38
Crystal system: orthorhombic
Energy relative to the elements, kcal/mol of atoms: 3.202

Lattice parameters (Å, degrees): 5.645 5.645 25.644 90.00 90.00 118.15
Positions (direct):
Ac (0.193, 0.807, 0.750)
Ac (0.807, 0.193, 0.250)
Tb (0.156, 0.844, 0.042)
Tb (0.156, 0.844, 0.458)
Tb (0.468, 0.532, 0.122)
Tb (0.468, 0.532, 0.378)
Tb (0.532, 0.468, 0.622)
Tb (0.532, 0.468, 0.878)
Tb (0.844, 0.156, 0.542)
Tb (0.844, 0.156, 0.958)
Ho (0.138, 0.862, 0.179)
Ho (0.138, 0.862, 0.321)
Ho (0.191, 0.809, 0.599)
Ho (0.191, 0.809, 0.901)
Ho (0.470, 0.530, 0.250)
Ho (0.500, 0.500, 0.000)
Ho (0.500, 0.500, 0.500)
Ho (0.530, 0.470, 0.750)
Ho (0.809, 0.191, 0.099)
Ho (0.809, 0.191, 0.401)
Ho (0.862, 0.138, 0.679)
Ho (0.862, 0.138, 0.821)



[9]
The following is a PBE calculation of a relaxed structure of La2CePr3S6, from Alexandria.

DOS(E_F), states/eV per cell: 9.61
Volume, Å³ per cell: 294.49
Crystal system: monoclinic
Formation energy (no corrections), kcal/mol of atoms: -47.93

Lattice parameters (Å, degrees): 7.126 7.126 7.112 99.65 99.65 120.06
Positions (direct):
La (0.167, 0.833, 0.000)
La (0.833, 0.167, 0.000)
Ce (0.500, 0.500, 0.000)
Pr (0.000, 0.000, 0.500)
Pr (0.331, 0.669, 0.500)
Pr (0.669, 0.331, 0.500)
S (0.089, 0.417, 0.752)
S (0.255, 0.255, 0.251)
S (0.417, 0.089, 0.752)
S (0.583, 0.911, 0.248)
S (0.745, 0.745, 0.749)
S (0.911, 0.583, 0.248)



[10]
The following is a PBE calculation of a relaxed structure of AcLuZnRh, from Alexandria.

DOS(E_F), states/eV per cell: 2.48
Volume, Å³ per cell: 95.46
Crystal system: cubic
Energy relative to the elements, kcal/mol of atoms: -10.102

Lattice parameters (Å, degrees): 5.130 5.130 5.130 60.00 60.00 60.00
Positions (direct):
Ac (0.000, 0.000, 0.000)
Lu (0.500, 0.500, 0.500)
Zn (0.750, 0.750, 0.750)
Rh (0.250, 0.250, 0.250)



We obtain density values of 4.50, 6.77, 13.24, 14.08, 5.79, 6.82, 4.23, 8.54, 5.83, 9.92 g cm⁻³ for the records listed above, in that order.
We obtain total DFT energy (no corrections) values of -0.3043, -0.3679, -0.3862, -0.8867, -0.3359, -0.3576, -0.4978, -0.3245, -0.4890, -0.3493 Ry per atom for the records listed above, in that order.